# LiY2Ru (PBE, optimized geometry)
# E above lowest polymorph, eV per atom: 0.043
# Mass density, Mg/m³: 4.98
# Fermi-level density of states, states/eV/cell: 2.5
# Energy relative to the elements, meV/atom: -223
# Total energy, eV per cell: -25.01
data_LiY2Ru
_symmetry_space_group_name_H-M 'P 4/m m m'
_symmetry_Int_Tables_number 123
_symmetry_space_group_name_Hall '-P 4 2'
_cell_length_a 3.433
_cell_length_b 3.433
_cell_length_c 8.079
_cell_angle_alpha 90.00
_cell_angle_beta 90.00
_cell_angle_gamma 90.00
loop_
_atom_site_label
_atom_site_fract_x
_atom_site_fract_y
_atom_site_fract_z
Li1 0.000 0.000 0.000
Y1 0.500 0.500 0.295
Ru1 0.000 0.000 0.500